Material: MoRhW2
Method: DFT, PBE-GGA
State: optimized geometry

Properties
Relative energy among the computed polymorphs ... 0.091 eV/atom
DFT total energy ... -43.67 eV/cell
SG ... P4/mmm
Calculated volume ... 62.5 Å³/cell

Lattice parameters (Å, degrees): 3.995 3.994 3.914 90.00 90.00 90.00
Sites, in units of the cell vectors:
1 Rh 0.000 0.500 0.500
2 Mo 0.500 0.000 0.500
3 W 0.000 0.000 0.000
4 W 0.500 0.500 0.000